4
Lattice="-0.8136 -2.0545 -1.9216 0.7601 -2.7944 0.4345 -7.6854 -2.9717 4.1999" Properties=species:S:1:pos:R:3 comment="Ga2GeOs | the Alexandria database | PBE | optimized geometry" magmom_total_mub_per_fu=0.0 ef_ev_per_atom=0.0993 final_energy_ev_per_atom=-5.3759 pbc="T T T"
Ga -5.5071 -2.5866 2.8659
Ga -2.2319 -5.2340 -0.1530
Os -3.8695 -3.9103 1.3564
Ge 0.0000 0.0000 0.0000